This record from Alexandria describes CsAc2NiO5 after structural relaxation. The functional is GGA+U.

Output
Spin magnetization = 1.00 μB/f.u.
E_tot = -112.5 eV for the cell shown
Symmetry = P4/mbm, No. 127

a = 7.2398 Å, b = 7.2398 Å, c = 5.8785 Å
α = 90.00°, β = 90.00°, γ = 90.00°
With the nearest neighbours (Å) after each atom.
Atoms (fractional coordinates):
Cs: 0.0000 0.0000 0.0000  10 O 2.94-3.19
Cs: 0.5000 0.5000 0.0000  10 O 2.94-3.19
Ac: 0.1822 0.3178 0.5000  8 O 2.52-2.73
Ac: 0.3178 0.8178 0.5000  8 O 2.52-2.73
Ac: 0.6822 0.1822 0.5000  8 O 2.52-2.73
Ac: 0.8178 0.6822 0.5000  8 O 2.52-2.73
Ni: 0.0000 0.5000 0.0000  4 O 1.88
Ni: 0.5000 0.0000 0.0000  4 O 1.88
O: 0.0000 0.0000 0.5000  4 Ac 2.65, 2 Cs 2.94
O: 0.1229 0.6229 0.2372  1 Ni 1.88
O: 0.1229 0.6229 0.7628  1 Ni 1.88
O: 0.3771 0.1229 0.2372  1 Ni 1.88
O: 0.3771 0.1229 0.7628  1 Ni 1.88
O: 0.5000 0.5000 0.5000  4 Ac 2.65, 2 Cs 2.94
O: 0.6229 0.8771 0.2372  1 Ni 1.88
O: 0.6229 0.8771 0.7628  1 Ni 1.88
O: 0.8771 0.3771 0.2372  1 Ni 1.88
O: 0.8771 0.3771 0.7628  1 Ni 1.88